This record from the Alexandria database describes a relaxed structure of LaPm2Er7. The functional is GGA-PBE.

Values from the calculation:
E_form: 690 meV per atom
SG: Cmmm (65)
ρ: 6.79 g/cm3
total magnetization: 0.001 μB/f.u.
crystal system: orthorhombic

Geometry as CIF:
```
data_LaPm2Er7
_chemical_formula_sum 'La1 Pm2 Er7'
_cell_length_a 5.488
_cell_length_b 9.334
_cell_length_c 9.334
_cell_angle_alpha 125.06
_cell_angle_beta 90.00
_cell_angle_gamma 90.00
_space_group_name_H-M_alt 'P 1'
_space_group_IT_number 1
loop_
_space_group_symop_operation_xyz
'x,y,z'
loop_
_atom_site_label
_atom_site_type_symbol
_atom_site_fract_x
_atom_site_fract_y
_atom_site_fract_z
Er1 Er 0.500 0.936 0.710
Er2 Er 0.500 0.290 0.064
Er3 Er 0.000 0.210 0.790
Er4 Er 0.500 0.710 0.936
Er5 Er 0.000 0.790 0.210
Er6 Er 0.500 0.064 0.290
Er7 Er 0.500 0.500 0.500
La1 La 0.000 0.000 0.000
Pm1 Pm 0.500 0.703 0.297
Pm2 Pm 0.500 0.297 0.703
```